Compound: K2PrTm2Mg3Cd
Source: OQMD via LeMat-Bulk
Functional: PBE-GGA
Structure: relaxed

Computed properties:
Theoretical density   3.899 g/cm3
E_tot   -2.11 eV/atom
SG   Amm2 (38)

Structure (POSCAR):
```
K2PrTm2Mg3Cd
1.0
-1.574 -2.541 2.281
9.643 -1.777 4.675
-8.249 6.809 1.893
Mg K Tm Pr Cd
3 2 2 1 1
Cartesian
0.274 2.562 6.143 Mg
-2.452 0.249 1.684 Mg
1.230 -1.518 2.257 Mg
-3.940 2.814 3.515 K
3.623 -0.815 4.692 K
-1.089 5.129 4.962 Tm
3.341 3.003 5.651 Tm
0.601 2.169 2.832 Pr
0.050 0.181 0.237 Cd
```



Compound: K2MgCdSb2
Source: OQMD via LeMat-Bulk
Functional: PBE-GGA
Structure: relaxed

Computed properties:
Theoretical density   3.924 g/cm3
E_tot   -2.66 eV/atom
SG   P-4m2 (115)

Structure (POSCAR):
```
K2MgCdSb2
1.0
4.817 0.000 0.000
0.000 4.817 0.000
0.000 0.000 8.360
Cd Sb K Mg
1 2 2 1
Cartesian
0.000 0.000 0.000 Cd
2.409 0.000 1.736 Sb
0.000 2.409 6.624 Sb
2.409 0.000 5.445 K
0.000 2.409 2.915 K
2.409 2.409 0.000 Mg
```



Compound: K4MgCdSn2
Source: OQMD via LeMat-Bulk
Functional: PBE-GGA
Structure: relaxed

Computed properties:
Theoretical density   3.045 g/cm3
E_tot   -2.04 eV/atom
SG   P-6m2 (187)

Structure (POSCAR):
```
K4MgCdSn2
1.0
-3.646 -3.128 -2.157
5.053 -0.496 -1.394
1.650 -8.019 8.839
Mg K Sn Cd
1 4 2 1
Cartesian
0.825 -4.009 4.420 Mg
-0.195 -4.930 1.051 K
0.353 -7.590 3.983 K
3.533 -8.074 5.737 K
2.425 -2.692 -0.195 K
2.979 -5.383 2.771 Sn
-0.746 -2.251 -1.903 Sn
0.000 0.000 0.000 Cd
```



Compound: K2Y2TmMg3Cd
Source: OQMD via LeMat-Bulk
Functional: PBE-GGA
Structure: relaxed

Computed properties:
Theoretical density   3.580 g/cm3
E_tot   -2.54 eV/atom
SG   Amm2 (38)

Structure (POSCAR):
```
K2Y2TmMg3Cd
1.0
3.524 0.000 0.000
0.000 6.849 5.864
0.000 -6.849 5.864
Tm K Mg Y Cd
1 2 3 2 1
Cartesian
0.000 0.000 3.126 Tm
1.762 -1.649 6.316 K
1.762 1.649 6.316 K
1.762 -4.838 7.097 Mg
1.762 4.838 7.097 Mg
1.762 0.000 9.398 Mg
0.000 -3.965 3.804 Y
0.000 3.965 3.804 Y
0.000 0.000 11.682 Cd
```



Compound: KZr4CdN2
Source: OQMD via LeMat-Bulk
Functional: PBE-GGA
Structure: relaxed

Computed properties:
Theoretical density   5.657 g/cm3
E_tot   -7.31 eV/atom
SG   P-6m2 (187)

Structure (POSCAR):
```
KZr4CdN2
1.0
-3.232 0.454 -0.668
0.967 -2.579 1.875
-1.505 9.362 13.651
N K Cd Zr
2 1 1 4
Cartesian
-1.603 5.713 11.644 N
-0.767 0.514 4.062 N
-0.752 4.681 6.826 K
-1.833 -0.557 0.180 Cd
-0.226 1.408 2.054 Zr
-1.279 7.954 11.598 Zr
-2.278 2.216 4.223 Zr
-2.892 6.033 9.788 Zr
```



Compound: KNa8Cd4
Source: OQMD via LeMat-Bulk
Functional: PBE-GGA
Structure: relaxed

Computed properties:
Theoretical density   2.807 g/cm3
E_tot   -1.24 eV/atom
SG   I4/mmm (139)

Structure (POSCAR):
```
KNa8Cd4
1.0
5.831 5.487 -3.157
-0.600 -5.717 6.405
0.159 -5.639 -6.500
Cd K Na
4 1 8
Cartesian
2.915 2.744 -1.579 Cd
2.695 -2.934 -1.626 Cd
0.080 -2.819 -3.250 Cd
-0.300 -2.859 3.203 Cd
0.000 0.000 0.000 K
2.518 -2.614 1.603 Na
1.457 -5.720 -2.751 Na
3.933 -0.148 -0.501 Na
2.872 -3.255 -4.855 Na
-0.289 -7.450 -0.062 Na
-0.152 -3.906 -0.033 Na
2.060 -0.052 -3.321 Na
3.930 -0.100 -6.336 Na
```



Compound: KNa2Cd
Source: OQMD via LeMat-Bulk
Functional: PBE-GGA
Structure: relaxed

Computed properties:
Theoretical density   2.388 g/cm3
E_tot   -1.15 eV/atom
SG   Pmma (51)

Structure (POSCAR):
```
KNa2Cd
1.0
5.518 0.000 0.000
0.000 5.612 0.000
0.000 0.000 8.871
Cd Na K
2 4 2
Cartesian
1.379 0.000 0.729 Cd
4.138 0.000 8.142 Cd
4.138 0.000 2.835 Na
4.138 2.806 0.825 Na
1.379 2.806 8.046 Na
1.379 0.000 6.036 Na
1.379 2.806 3.112 K
4.138 2.806 5.759 K
```



Compound: K3Na4Cd
Source: OQMD via LeMat-Bulk
Functional: PBE-GGA
Structure: relaxed

Computed properties:
Theoretical density   1.636 g/cm3
E_tot   -1.15 eV/atom
SG   P-4m2 (115)

Structure (POSCAR):
```
K3Na4Cd
1.0
-5.882 0.825 -0.620
-0.605 -5.661 -1.800
-1.282 -2.622 8.677
K Na Cd
3 4 1
Cartesian
-3.884 -3.729 3.128 K
-1.300 -4.870 5.850 K
-3.225 -0.170 1.617 K
-0.577 -3.393 0.961 Na
-0.641 -1.311 4.338 Na
-3.948 -1.647 6.505 Na
-3.243 -2.418 -1.210 Na
0.000 0.000 0.000 Cd
```